No. 1
Be3GaN, optimized geometry, DFT PBE-GGA; excess energy over the best structure of this formula in the dataset = 0 meV/atom; volume = 9.4 A^3/atom
1.0
-0.845 -3.418 -0.784
-0.760 -0.608 3.473
-3.423 0.979 -0.577
Be Ga N
3 1 1
Cartesian
-1.712 0.490 -0.289
-0.423 -1.709 -0.392
-0.380 -0.304 1.737
-2.514 -1.524 1.056
0.000 0.000 0.000

No. 2
K2USbS6, optimized geometry, DFT PBE-GGA; VASP energy = -51.0 eV per formula unit; volume = 26.7 A^3/atom
1.0
-1.956 6.533 -2.585
0.187 1.287 -7.176
-6.076 0.778 -3.724
K S U Sb
2 6 1 1
Cartesian
-2.844 4.659 -6.650
-4.980 1.144 -3.630
-2.946 4.142 -3.495
-1.898 2.326 -8.622
-4.875 1.661 -6.785
-5.736 4.766 -8.833
-3.694 7.505 -7.832
-6.082 4.831 -5.032
-4.795 6.812 -10.020
-0.872 2.513 -3.278

No. 3
SeS3F, optimized geometry, DFT PBE-GGA; excess energy over the best structure of this formula in the dataset = 1246 meV/atom; volume = 17.3 A^3/atom
1.0
4.419 0.000 0.000
0.000 4.419 0.000
0.000 0.000 4.419
F S Se
1 3 1
Cartesian
0.000 0.000 0.000
0.000 2.209 0.000
0.000 0.000 2.209
2.209 0.000 0.000
2.209 2.209 2.209

Number 1: density of states at the Fermi level 0.1308 states/eV/atom. Number 2: density of states at the Fermi level 0.6291 states/eV/atom. Number 3: density of states at the Fermi level 0.7495 states/eV/atom.